Density functional theory data (PBE) for a relaxed structure of MgCr2Si.

Summary:
E_form (uncorrected) (eV/atom): 0.337

abc: 2.6885 2.6885 25.9417
angles: 90.00 90.00 120.00
Space group R-3m (No. 166, hexagonal axes)
Asymmetric unit:
Mg 0.0000 0.0000 0.0000
Cr 0.0000 0.0000 0.2429
Si 0.0000 0.0000 0.5000